Entry 1:
## La2ErTm5Th (GGA-PBE)

Data for an optimized crystal structure of La2ErTm5Th.

POSCAR file:
```
La2ErTm5Th
1.0
2.7929 -9.7832 0.0000
2.7929 9.7832 0.0000
0.0000 0.0000 10.9044
La Er Tm Th
4 2 10 2
direct
0.1150 0.8850 0.5000
0.1156 0.8844 0.0802
0.8844 0.1156 0.5802
0.8850 0.1150 0.0000
0.2023 0.7977 0.7738
0.7977 0.2023 0.2738
0.0143 0.9857 0.7937
0.2820 0.7180 0.0736
0.2993 0.7007 0.4751
0.3917 0.6083 0.7847
0.4818 0.5182 0.5025
0.5182 0.4818 0.0025
0.6083 0.3917 0.2847
0.7007 0.2993 0.9751
0.7180 0.2820 0.5736
0.9857 0.0143 0.2937
0.4177 0.5823 0.2295
0.5823 0.4177 0.7295
```

Results
**VASP energy**: -4.7434 eV per atom
**Total magnetic moment**: 0.00 Bohr magnetons per cell



Entry 2:
## Ba2MgAg2 (GGA-PBE)

Data for an optimized crystal structure of Ba2MgAg2.

POSCAR file:
```
Ba2MgAg2
1.0
8.4929 0.0000 0.0000
0.0000 8.4929 0.0000
0.0000 0.0000 4.7444
Ba Mg Ag
4 2 4
direct
0.1772 0.3228 0.0000
0.3228 0.8228 0.0000
0.6772 0.1772 0.0000
0.8228 0.6772 0.0000
0.0000 0.0000 0.5000
0.5000 0.5000 0.5000
0.1224 0.6224 0.5000
0.3776 0.1224 0.5000
0.6224 0.8776 0.5000
0.8776 0.3776 0.5000
```

Results
**VASP energy**: -2.4334 eV per atom
**Total magnetic moment**: 0.00 Bohr magnetons per cell
**Relative energy among the computed polymorphs**: 0.0283 eV/atom



| no. | DOS at the Fermi energy (states/eV per atom) | E_form (eV/atom) |
| --- | --- | --- |
| 1 | 1.4004 | 0.167 |
| 2 | 0.9409 | -0.205 |